Below is a geometry-optimized NaSi2Ni2 structure, with properties calculated at the PBE-GGA level.

Results
- Raw total energy: -4.91 eV per atom
- Calculated volume: 75.1 Å³ per cell
- Spin magnetization: 0.000 μB per formula unit
- E_form (uncorrected): -16.20 kJ/mol of atoms

a = 3.851 Å, b = 3.851 Å, c = 5.751 Å
α = 70.44°, β = 70.44°, γ = 90.00°
Fractional coordinates of all 5 atoms:
Ni1 0.375 0.375 0.251
Ni2 0.625 0.625 0.749
Si1 0.750 0.250 0.500
Si2 0.250 0.750 0.500
Na1 0.000 0.000 0.000